Entry 1:
A plane-wave DFT calculation with SCAN was carried out for a PBEsol-optimized structure of SrTl2Cd.

The structure belongs to space group P2/m (No. 10); the cell edges are 3.6761, 4.9061 and 6.4341 Å and the angles 90.00°, 100.73° and 90.00°. The distinct sites, in fractional coordinates, are Sr at (0.0000, 0.0000, 0.0000), Tl at (0.3382, 0.5000, 0.7268) and Cd at (0.5000, 0.0000, 0.5000).

The formation energy is -0.298 eV per atom. For the density, the calculation gives 8.9 g/cm3. The value obtained for the energy is -49.650 eV/atom.

***

Entry 2:
A plane-wave DFT calculation with SCAN was carried out for a PBEsol-optimized structure of K3CdTc.

The structure belongs to space group Pm-3m (No. 221); the cell edges are 6.1624, 6.1624 and 6.1624 Å and the angles 90.00°, 90.00° and 90.00°. The distinct sites, in fractional coordinates, are K at (0.0000, 0.0000, 0.5000), Cd at (0.5000, 0.5000, 0.5000) and Tc at (0.0000, 0.0000, 0.0000).

The formation energy is 1.114 eV per atom. For the density, the calculation gives 2.3 g/cm3. The value obtained for the energy is -16.978 eV/atom.

***

Entry 3:
A plane-wave DFT calculation with SCAN was carried out for a PBEsol-optimized structure of RbGa2Bi2.

The structure belongs to space group I4/mmm (No. 139); the cell edges are 5.2506, 5.2506 and 10.5307 Å and the angles 90.00°, 90.00° and 90.00°. The distinct sites, in fractional coordinates, are Rb at (0.0000, 0.0000, 0.0000), Ga at (0.0000, 0.0000, 0.3796) and Bi at (0.0000, 0.5000, 0.2500).

The formation energy is -0.176 eV per atom. For the density, the calculation gives 7.4 g/cm3. The value obtained for the energy is -42.295 eV/atom.

***

Question: The highest energy belongs to which entry?
Answer: K3CdTc

***

Question: What is the energy in the first record?
Answer: -49.650 eV/atom